(1)
Computed, not measured: a geometry-optimized Y5HgS4 structure at the PBE-GGA level of DFT.

Output
Its spin magnetization is 0.000 μB/atom. The total energy comes out at -6.579 eV per atom. The value obtained for the formation energy from raw total energies is -1.666 eV/atom.

Cell lengths 13.365, 3.933, 9.963 Å; angles 90.00, 120.16, 90.00 degrees
Space group C2/m (No. 12)
Unique sites:
Y1 0.000 0.000 0.000 (multiplicity 2)
Y2 0.111 0.500 0.392 (multiplicity 4)
Y3 0.203 0.000 0.811 (multiplicity 4)
Hg1 0.000 0.000 0.500 (multiplicity 2)
S1 0.098 0.500 0.902 (multiplicity 4)
S2 0.202 0.000 0.291 (multiplicity 4)

(2)
Computed, not measured: a geometry-optimized Pr2Nd4Er5 structure at the PBE-GGA level of DFT.

Output
Its spin magnetization is 0.000 μB/atom. Its distance to the lowest polymorph of the same formula is 197 meV per atom. The total energy comes out at -4.425 eV per atom.

Cell lengths 3.535, 9.238, 23.180 Å; angles 90.00, 90.00, 90.00 degrees
Space group Immm (No. 71)
Unique sites:
Pr1 0.000 0.000 0.232 (multiplicity 4)
Nd1 0.000 0.000 0.096 (multiplicity 4)
Nd2 0.000 0.295 0.500 (multiplicity 4)
Er1 0.000 0.193 0.357 (multiplicity 8)
Er2 0.000 0.500 0.000 (multiplicity 2)